# FeAs7 PBE relaxed
data_FeAs7
_cell_length_a 5.932
_cell_length_b 5.932
_cell_length_c 5.932
_cell_angle_alpha 60.00
_cell_angle_beta 60.00
_cell_angle_gamma 60.00
_symmetry_space_group_name_H-M 'P 1'
_symmetry_Int_Tables_number 1
_symmetry_space_group_name_Hall 'P 1'
loop_
_atom_site_label
_atom_site_type_symbol
_atom_site_fract_x
_atom_site_fract_y
_atom_site_fract_z
Fe1 Fe 0.000 0.000 0.000
As1 As 0.000 0.000 0.500
As2 As 0.000 0.500 0.000
As3 As 0.000 0.500 0.500
As4 As 0.500 0.000 0.000
As5 As 0.500 0.000 0.500
As6 As 0.500 0.500 0.000
As7 As 0.500 0.500 0.500
# Formation enthalpy at 0 K, meV/atom: 558.3
# Symmetry: Fm-3m (225)